Record 1
Density functional theory data (GGA-PBE) for crystalline Nd8PdRh3Cl4 at its relaxed geometry.

Structure (POSCAR):
```
Nd8PdRh3Cl4
1.0
7.124 -4.114 0.000
7.124 4.114 0.000
-4.754 0.000 7.557
Nd Pd Rh Cl
8 1 3 4
Direct
0.228 0.739 0.706
0.236 0.236 0.706
0.261 0.261 0.294
0.261 0.772 0.294
0.739 0.228 0.706
0.739 0.739 0.706
0.764 0.764 0.294
0.772 0.261 0.294
0.500 0.500 0.500
0.000 0.000 0.500
0.000 0.500 0.500
0.500 0.000 0.500
0.000 0.000 0.000
0.000 0.500 0.000
0.500 0.000 0.000
0.500 0.500 0.000
```

## Properties
**SG**: No. 12
**Volume**: 442.9 Å³/cell
**Theoretical density**: 6414 kg/m³

---

Record 2
Density functional theory data (GGA-PBE) for crystalline La3Nd4Dy5 at its relaxed geometry.

Structure (POSCAR):
```
La3Nd4Dy5
1.0
6.302 0.000 0.000
0.010 7.276 0.000
0.021 0.023 8.933
La Nd Dy
3 4 5
Direct
0.000 0.000 0.000
0.168 0.249 0.331
0.832 0.751 0.669
0.170 0.751 0.332
0.331 0.500 0.670
0.669 0.500 0.330
0.830 0.249 0.668
0.000 0.500 0.000
0.335 0.000 0.669
0.498 0.750 0.000
0.502 0.250 0.000
0.665 0.000 0.331
```

## Properties
**SG**: No. 2
**Volume**: 409.5 Å³/cell
**DFT formation energy**: 0.02 eV/atom
**Theoretical density**: 7323 kg/m³

---

Record 3
Density functional theory data (GGA-PBE) for crystalline Mg3MoC at its relaxed geometry.

Structure (POSCAR):
```
Mg3MoC
1.0
4.428 0.000 0.000
0.000 4.428 0.000
0.000 0.000 4.428
Mg Mo C
3 1 1
Direct
0.000 0.000 0.500
0.000 0.500 0.000
0.500 0.000 0.000
0.500 0.500 0.500
0.000 0.000 0.000
```

## Properties
**SG**: No. 221
**Volume**: 86.8 Å³/cell
**DFT formation energy**: 0.83 eV/atom
**Theoretical density**: 3458 kg/m³

---

Record 4
Density functional theory data (GGA-PBE) for crystalline Sm4Ge2Sb at its relaxed geometry.

Structure (POSCAR):
```
Sm4Ge2Sb
1.0
-4.780 4.780 4.748
4.780 -4.780 4.748
4.780 4.780 -4.748
Sm Ge Sb
8 4 2
Direct
0.205 0.273 0.568
0.205 0.637 0.932
0.273 0.205 0.068
0.363 0.795 0.568
0.637 0.205 0.432
0.727 0.795 0.932
0.795 0.363 0.068
0.795 0.727 0.432
0.000 0.500 0.500
0.500 0.000 0.000
0.500 0.500 0.000
0.500 0.500 0.500
0.125 0.875 0.250
0.875 0.125 0.750
```

## Properties
**SG**: No. 141
**Volume**: 433.9 Å³/cell
**Theoretical density**: 6647 kg/m³

---

Record 5
Density functional theory data (GGA-PBE) for crystalline CeScTlGa at its relaxed geometry.

Structure (POSCAR):
```
CeScTlGa
1.0
3.335 0.000 0.000
0.000 3.335 0.000
0.000 0.000 8.392
Ce Sc Tl Ga
1 1 1 1
Direct
0.000 0.000 0.000
0.000 0.000 0.545
0.500 0.500 0.290
0.500 0.500 0.753
```

## Properties
**SG**: No. 99
**Volume**: 93.3 Å³/cell
**DFT formation energy**: -0.40 eV/atom
**Theoretical density**: 8169 kg/m³

---

Record 6
Density functional theory data (GGA-PBE) for crystalline Ba2Li2In at its relaxed geometry.

Structure (POSCAR):
```
Ba2Li2In
1.0
-2.084 2.084 10.853
2.084 -2.084 10.853
2.084 2.084 -10.853
Ba Li In
2 2 1
Direct
0.099 0.099 0.000
0.901 0.901 0.000
0.250 0.750 0.500
0.750 0.250 0.500
0.500 0.500 0.000
```

## Properties
**SG**: No. 139
**Volume**: 188.5 Å³/cell
**DFT formation energy**: -0.11 eV/atom
**Theoretical density**: 3552 kg/m³

---

Record 7
Density functional theory data (GGA-PBE) for crystalline Nb12Rh5N2 at its relaxed geometry.

Structure (POSCAR):
```
Nb12Rh5N2
1.0
7.380 -3.203 0.000
7.380 3.203 0.000
-2.259 0.000 7.175
Nb Rh N
12 5 2
Direct
0.002 0.002 0.212
0.100 0.618 0.455
0.108 0.583 0.917
0.382 0.900 0.545
0.417 0.892 0.083
0.494 0.494 0.822
0.506 0.506 0.178
0.583 0.108 0.917
0.618 0.100 0.455
0.892 0.417 0.083
0.900 0.382 0.545
0.998 0.998 0.788
0.194 0.194 0.842
0.220 0.220 0.357
0.500 0.500 0.500
0.780 0.780 0.643
0.806 0.806 0.158
0.230 0.770 0.000
0.770 0.230 0.000
```

## Properties
**SG**: No. 12
**Volume**: 339.2 Å³/cell
**Theoretical density**: 8114 kg/m³

---

Record 8
Density functional theory data (GGA-PBE) for crystalline Ho2CdSn2 at its relaxed geometry.

Structure (POSCAR):
```
Ho2CdSn2
1.0
2.119 -7.737 0.000
2.119 7.737 0.000
0.000 0.000 4.147
Ho Cd Sn
2 1 2
Direct
0.127 0.873 0.000
0.873 0.127 0.000
0.500 0.500 0.500
0.313 0.687 0.500
0.687 0.313 0.500
```

## Properties
**SG**: No. 65
**Volume**: 136.0 Å³/cell
**DFT formation energy**: -0.38 eV/atom
**Theoretical density**: 8299 kg/m³

---

Record 9
Density functional theory data (GGA-PBE) for crystalline Tl2Cd2GaSn at its relaxed geometry.

Structure (POSCAR):
```
Tl2Cd2GaSn
1.0
-3.119 8.206 3.140
3.119 -8.206 3.140
3.119 8.206 -3.140
Tl Cd Ga Sn
4 4 2 2
Direct
0.181 0.217 0.398
0.319 0.717 0.036
0.681 0.283 0.964
0.819 0.783 0.602
0.129 0.710 0.838
0.371 0.210 0.581
0.629 0.790 0.419
0.871 0.290 0.162
0.250 0.750 0.500
0.750 0.250 0.500
0.250 0.250 0.000
0.750 0.750 0.000
```

## Properties
**SG**: No. 72
**Volume**: 321.5 Å³/cell
**DFT formation energy**: 0.06 eV/atom
**Theoretical density**: 8492 kg/m³

---

Record 10
Density functional theory data (GGA-PBE) for crystalline Mg2InHg2 at its relaxed geometry.

Structure (POSCAR):
```
Mg2InHg2
1.0
8.191 0.000 0.000
0.000 8.191 0.000
0.000 0.000 3.511
Mg In Hg
4 2 4
Direct
0.137 0.363 0.000
0.363 0.863 0.000
0.637 0.137 0.000
0.863 0.637 0.000
0.000 0.000 0.000
0.500 0.500 0.000
0.162 0.662 0.500
0.338 0.162 0.500
0.662 0.838 0.500
0.838 0.338 0.500
```

## Properties
**SG**: No. 127
**Volume**: 235.6 Å³/cell
**DFT formation energy**: -0.11 eV/atom
**Theoretical density**: 7960 kg/m³

---

Record 11
Density functional theory data (GGA-PBE) for crystalline Sr2Cu4Sb3Pd at its relaxed geometry.

Structure (POSCAR):
```
Sr2Cu4Sb3Pd
1.0
4.466 0.000 0.000
0.000 4.466 0.000
0.000 0.000 10.796
Sr Cu Sb Pd
2 4 3 1
Direct
0.000 0.500 0.247
0.500 0.000 0.753
0.000 0.000 0.500
0.000 0.500 0.873
0.500 0.000 0.127
0.500 0.500 0.500
0.000 0.000 0.000
0.000 0.500 0.634
0.500 0.000 0.366
0.500 0.500 0.000
```

## Properties
**SG**: No. 115
**Volume**: 215.3 Å³/cell
**Theoretical density**: 6950 kg/m³

---

Record 12
Density functional theory data (GGA-PBE) for crystalline Rb2Np2ZnS6 at its relaxed geometry.

Structure (POSCAR):
```
Rb2Np2ZnS6
1.0
3.326 -6.187 0.000
3.326 6.187 0.000
-2.133 0.000 7.859
Rb Np Zn S
2 2 1 6
Direct
0.155 0.845 0.000
0.845 0.155 0.000
0.334 0.666 0.500
0.666 0.334 0.500
0.000 0.000 0.500
0.055 0.417 0.690
0.244 0.244 0.339
0.417 0.055 0.690
0.583 0.945 0.310
0.756 0.756 0.661
0.945 0.583 0.310
```

## Properties
**SG**: No. 12
**Volume**: 323.4 Å³/cell
**Theoretical density**: 4635 kg/m³

---

Record 13
Density functional theory data (GGA-PBE) for crystalline Cs2AsBr2F4 at its relaxed geometry.

Structure (POSCAR):
```
Cs2AsBr2F4
1.0
-3.700 3.700 4.181
3.700 -3.700 4.181
3.700 3.700 -4.181
Cs As Br F
2 1 2 4
Direct
0.250 0.750 0.500
0.750 0.250 0.500
0.000 0.000 0.000
0.309 0.309 0.000
0.691 0.691 0.000
0.186 0.186 0.371
0.186 0.814 0.000
0.814 0.186 0.000
0.814 0.814 0.629
```

## Properties
**SG**: No. 139
**Volume**: 228.9 Å³/cell
**Theoretical density**: 4183 kg/m³

---

Record 14
Density functional theory data (GGA-PBE) for crystalline Ti2Zn2Ga at its relaxed geometry.

Structure (POSCAR):
```
Ti2Zn2Ga
1.0
1.412 -10.182 0.000
1.412 10.182 0.000
0.000 0.000 2.767
Ti Zn Ga
2 2 1
Direct
0.096 0.904 0.000
0.904 0.096 0.000
0.305 0.695 0.500
0.695 0.305 0.500
0.500 0.500 0.500
```

## Properties
**SG**: No. 65
**Volume**: 79.6 Å³/cell
**DFT formation energy**: -0.23 eV/atom
**Theoretical density**: 6182 kg/m³

---

Record 15
Density functional theory data (GGA-PBE) for crystalline Li2TlSe at its relaxed geometry.

Structure (POSCAR):
```
Li2TlSe
1.0
-1.795 1.986 6.114
1.795 -1.986 6.114
1.795 1.986 -6.114
Li Tl Se
2 1 1
Direct
0.000 0.000 0.000
0.669 0.169 0.500
0.367 0.367 0.000
0.143 0.643 0.500
```

## Properties
**SG**: No. 44
**Volume**: 87.2 Å³/cell
**Theoretical density**: 5659 kg/m³

---

Record 16
Density functional theory data (GGA-PBE) for crystalline Sr2AsW at its relaxed geometry.

Structure (POSCAR):
```
Sr2AsW
1.0
3.481 0.000 0.000
0.000 3.481 0.000
0.000 0.000 9.235
Sr As W
2 1 1
Direct
0.000 0.000 0.000
0.500 0.500 0.407
0.500 0.500 0.766
0.000 0.000 0.657
```

## Properties
**SG**: No. 99
**Volume**: 111.9 Å³/cell
**DFT formation energy**: 0.17 eV/atom
**Theoretical density**: 6440 kg/m³

---

Record 17
Density functional theory data (GGA-PBE) for crystalline SmYSe3 at its relaxed geometry.

Structure (POSCAR):
```
SmYSe3
1.0
7.223 0.000 0.000
0.000 4.095 0.000
-0.512 0.000 9.065
Sm Y Se
2 2 6
Direct
0.193 0.250 0.155
0.807 0.750 0.845
0.265 0.750 0.607
0.735 0.250 0.393
0.009 0.750 0.345
0.216 0.750 0.934
0.462 0.750 0.323
0.538 0.250 0.677
0.784 0.250 0.066
0.991 0.250 0.655
```

## Properties
**SG**: No. 11
**Volume**: 268.2 Å³/cell
**Theoretical density**: 5897 kg/m³

---

Record 18
Density functional theory data (GGA-PBE) for crystalline Ca3NbAs at its relaxed geometry.

Structure (POSCAR):
```
Ca3NbAs
1.0
5.588 0.000 0.000
0.000 5.588 0.000
0.000 0.000 5.588
Ca Nb As
3 1 1
Direct
0.000 0.000 0.500
0.000 0.500 0.000
0.500 0.000 0.000
0.500 0.500 0.500
0.000 0.000 0.000
```

## Properties
**SG**: No. 221
**Volume**: 174.5 Å³/cell
**DFT formation energy**: 0.22 eV/atom
**Theoretical density**: 2741 kg/m³

---

Record 19
Density functional theory data (GGA-PBE) for crystalline BaNaIrN at its relaxed geometry.

Structure (POSCAR):
```
BaNaIrN
1.0
3.590 0.000 0.000
0.000 2.283 5.597
0.000 -2.283 5.597
Ba Na Ir N
1 1 1 1
Direct
0.000 0.000 0.000
0.500 0.274 0.274
0.000 0.702 0.702
0.500 0.634 0.634
```

## Properties
**SG**: No. 38
**Volume**: 91.8 Å³/cell
**Theoretical density**: 6633 kg/m³

---

Record 20
Density functional theory data (GGA-PBE) for crystalline Cs2RbNaP at its relaxed geometry.

Structure (POSCAR):
```
Cs2RbNaP
1.0
7.287 0.000 0.000
0.000 7.287 0.000
0.000 0.000 5.617
Cs Rb Na P
2 1 1 1
Direct
0.000 0.500 0.000
0.500 0.000 0.000
0.000 0.000 0.500
0.500 0.500 0.500
0.500 0.500 0.000
```

## Properties
**SG**: No. 123
**Volume**: 298.3 Å³/cell
**DFT formation energy**: -0.02 eV/atom
**Theoretical density**: 2256 kg/m³

---

Sequential electronic total energy output: -5.705 -4.719 -4.138 -5.341 -4.811 -2.194 -9.249 -3.998 -2.209 -1.417 -4.194 -6.063 -3.880 -4.501 -3.047 -5.071 -6.180 -3.928 -5.053 -1.900 eV/atom